Record 1
Material: SrAg2BiN
Method: DFT, GGA-PBE
State: optimized geometry

```
data_SrAg2BiN
_cell_length_a 5.784
_cell_length_b 5.784
_cell_length_c 4.181
_cell_angle_alpha 90.00
_cell_angle_beta 90.00
_cell_angle_gamma 90.00
_symmetry_space_group_name_H-M 'P 4/m m m'
_symmetry_Int_Tables_number 123
_symmetry_space_group_name_Hall '-P 4 2'
loop_
_atom_site_label
_atom_site_fract_x
_atom_site_fract_y
_atom_site_fract_z
Sr1 0.000 0.000 0.000
Ag1 0.000 0.500 0.000
Bi1 0.500 0.500 0.500
N1 0.000 0.000 0.500
```

Size of the total moment ... 0.0 μB per cell
Formation energy (no corrections) ... 1071.8 meV per atom


Record 2
Material: AgBiTe2N
Method: DFT, GGA-PBE
State: optimized geometry

```
data_AgBiTe2N
_cell_length_a 5.643
_cell_length_b 5.643
_cell_length_c 4.067
_cell_angle_alpha 90.00
_cell_angle_beta 90.00
_cell_angle_gamma 90.00
_symmetry_space_group_name_H-M 'P 4/m m m'
_symmetry_Int_Tables_number 123
_symmetry_space_group_name_Hall '-P 4 2'
loop_
_atom_site_label
_atom_site_fract_x
_atom_site_fract_y
_atom_site_fract_z
Ag1 0.000 0.000 0.000
Bi1 0.500 0.500 0.500
Te1 0.000 0.500 0.000
N1 0.000 0.000 0.500
```

Energy relative to the lowest polymorph listed for this composition ... 0 meV/atom
Size of the total moment ... 1.9 μB per cell
Formation energy (no corrections) ... 866.2 meV per atom